Material: BaReOsAu
Method: DFT, GGA-PBE
State: relaxed

```
BaReOsAu
1.0
0.000 3.423 3.423
3.423 0.000 3.423
3.423 3.423 0.000
Ba Re Os Au
1 1 1 1
Direct
0.000 0.000 0.000
0.250 0.250 0.250
0.500 0.500 0.500
0.750 0.750 0.750
```

Output
Total magnetic moment, μB per formula unit: 0.010
DFT total energy, eV for the cell shown: -23.7
Polymorph energy (0 for the lowest one), eV/atom: 0.000
Space group: F-43m (216)